(1)
DyErTiIn | PBE-GGA | optimized geometry

energy relative to the elements: -0.094 eV/atom
VASP energy: -0.18536 hartree per atom

POSCAR file:
```
DyErTiIn
1.0
0.000 3.700 3.700
3.700 0.000 3.700
3.700 3.700 0.000
Dy Er Ti In
1 1 1 1
Cartesian
0.000 0.000 0.000 Dy
3.700 3.700 3.700 Er
1.850 1.850 1.850 Ti
5.551 5.551 5.551 In
```

=====

(2)
Dy5ErTl2In | PBE-GGA | optimized geometry

energy relative to the elements: -0.014 eV/atom
VASP energy: -0.14362 hartree per atom

POSCAR file:
```
Dy5ErTl2In
1.0
-3.875 3.875 8.926
3.875 -3.875 8.926
3.875 3.875 -8.926
Dy Er Tl In
10 2 4 2
Cartesian
0.000 0.000 0.000 Dy
5.516 1.640 -2.408 Dy
1.640 2.235 -2.408 Dy
5.516 1.640 2.408 Dy
1.640 2.235 2.408 Dy
0.000 0.000 8.926 Dy
2.235 1.640 6.518 Dy
-1.640 2.235 6.518 Dy
2.235 1.640 11.335 Dy
-1.640 2.235 11.335 Dy
3.875 0.000 4.463 Er
0.000 3.875 4.463 Er
2.899 0.977 0.000 Tl
2.899 -0.977 8.926 Tl
0.977 4.852 0.000 Tl
0.977 2.899 8.926 Tl
0.000 0.000 4.463 In
0.000 0.000 13.390 In
```

=====

(3)
Dy5ErTlIn2 | PBE-GGA | optimized geometry

energy relative to the elements: -0.049 eV/atom
VASP energy: -0.14640 hartree per atom

POSCAR file:
```
Dy5ErTlIn2
1.0
-4.251 4.251 7.217
4.251 -4.251 7.217
4.251 4.251 -7.217
Dy Er Tl In
10 2 2 4
Cartesian
0.000 0.000 0.000 Dy
6.030 1.779 -1.931 Dy
1.779 2.473 -1.931 Dy
6.030 1.779 1.931 Dy
1.779 2.473 1.931 Dy
0.000 0.000 7.217 Dy
2.473 1.779 5.285 Dy
-1.779 2.473 5.285 Dy
2.473 1.779 9.148 Dy
-1.779 2.473 9.148 Dy
4.251 0.000 3.608 Er
0.000 4.251 3.608 Er
0.000 0.000 3.608 Tl
0.000 0.000 10.825 Tl
3.307 0.944 0.000 In
3.307 -0.944 7.217 In
0.944 5.196 0.000 In
0.944 3.307 7.217 In
```

=====

(4)
DyErTlIn | PBE-GGA | optimized geometry

energy relative to the elements: -0.389 eV/atom
VASP energy: -0.14541 hartree per atom

POSCAR file:
```
DyErTlIn
1.0
0.000 3.764 3.764
3.764 0.000 3.764
3.764 3.764 0.000
Dy Er Tl In
1 1 1 1
Cartesian
0.000 0.000 0.000 Dy
3.764 3.764 3.764 Er
1.882 1.882 1.882 Tl
5.646 5.646 5.646 In
```

=====

(5)
Dy6Er3Tm2In | PBE-GGA | optimized geometry

energy relative to the elements: -0.036 eV/atom
VASP energy: -0.16360 hartree per atom

POSCAR file:
```
Dy6Er3Tm2In
1.0
3.028 -5.249 0.000
3.028 5.249 0.000
-2.032 0.000 11.359
Dy Er Tm In
6 3 2 1
Cartesian
0.993 1.731 2.806 Dy
-0.028 0.000 8.538 Dy
0.993 -1.731 2.806 Dy
3.031 1.731 8.554 Dy
4.052 0.000 2.822 Dy
3.031 -1.731 8.554 Dy
2.012 3.496 5.680 Er
2.012 0.000 5.680 Er
2.012 -3.496 5.680 Er
3.028 1.742 0.000 Tm
3.028 -1.742 0.000 Tm
0.000 0.000 0.000 In
```

=====

(6)
DyEr2TmIn4 | PBE-GGA | optimized geometry

energy relative to the elements: -0.441 eV/atom
VASP energy: -0.15013 hartree per atom

POSCAR file:
```
DyEr2TmIn4
1.0
2.640 1.524 8.644
-2.640 1.524 8.644
0.000 -3.048 8.644
Dy Er Tm In
1 2 1 4
Cartesian
0.000 0.000 0.000 Dy
0.000 0.000 6.474 Er
0.000 0.000 19.458 Er
0.000 0.000 12.966 Tm
0.000 0.000 3.255 In
0.000 0.000 9.739 In
0.000 0.000 16.194 In
0.000 0.000 22.677 In
```

=====

(7)
Dy3Er6Tm2In | PBE-GGA | optimized geometry

energy relative to the elements: -0.036 eV/atom
VASP energy: -0.16321 hartree per atom

POSCAR file:
```
Dy3Er6Tm2In
1.0
3.018 -5.232 0.000
3.018 5.232 0.000
-2.029 0.000 11.334
Dy Er Tm In
3 6 2 1
Cartesian
0.000 0.000 0.000 Dy
3.018 1.744 0.000 Dy
3.018 -1.744 0.000 Dy
1.018 1.725 2.883 Er
0.001 0.000 8.468 Er
1.018 -1.725 2.883 Er
2.989 1.725 8.451 Er
4.006 0.000 2.866 Er
2.989 -1.725 8.451 Er
2.004 3.495 5.667 Tm
2.004 -3.495 5.667 Tm
2.004 0.000 5.667 In
```

=====

(8)
DyEr2Tm2In | PBE-GGA | optimized geometry

energy relative to the elements: -0.026 eV/atom
VASP energy: -0.15659 hartree per atom

POSCAR file:
```
DyEr2Tm2In
1.0
6.603 0.000 0.000
0.000 9.850 0.000
0.000 0.000 5.294
Dy Er Tm In
2 4 4 2
Cartesian
0.000 0.000 0.000 Dy
3.301 4.925 2.647 Dy
1.592 3.327 0.000 Er
1.709 8.252 2.647 Er
4.894 1.598 2.647 Er
5.010 6.523 0.000 Er
1.618 6.537 0.000 Tm
1.683 1.612 2.647 Tm
4.920 8.238 2.647 Tm
4.984 3.313 0.000 Tm
0.000 4.925 2.647 In
3.301 0.000 0.000 In
```

=====

(9)
Dy2ErTm5In | PBE-GGA | optimized geometry

energy relative to the elements: 0.000 eV/atom
VASP energy: -0.15869 hartree per atom

POSCAR file:
```
Dy2ErTm5In
1.0
2.624 -10.100 0.000
2.624 10.100 0.000
0.000 0.000 10.267
Dy Er Tm In
4 2 10 2
Cartesian
2.624 7.750 5.501 Dy
2.624 7.750 9.900 Dy
2.624 -7.750 0.367 Dy
2.624 -7.750 4.766 Dy
2.624 5.873 2.567 Er
2.624 -5.873 7.701 Er
2.624 9.925 2.567 Tm
2.624 4.298 5.681 Tm
2.624 4.298 9.720 Tm
2.624 2.397 2.567 Tm
2.624 0.000 0.000 Tm
2.624 0.000 5.134 Tm
2.624 -2.397 7.701 Tm
2.624 -4.298 0.547 Tm
2.624 -4.298 4.586 Tm
2.624 -9.925 7.701 Tm
2.624 1.951 7.701 In
2.624 -1.951 2.567 In
```

=====

(10)
Dy2Er5TmIn | PBE-GGA | optimized geometry

energy relative to the elements: -0.001 eV/atom
VASP energy: -0.16023 hartree per atom

POSCAR file:
```
Dy2Er5TmIn
1.0
2.636 -10.096 0.000
2.636 10.096 0.000
0.000 0.000 10.313
Dy Er Tm In
4 10 2 2
Cartesian
2.636 7.750 5.541 Dy
2.636 7.750 9.929 Dy
2.636 -7.750 0.384 Dy
2.636 -7.750 4.772 Dy
2.636 9.900 2.578 Er
2.636 4.289 5.705 Er
2.636 4.289 9.765 Er
2.636 2.403 2.578 Er
2.636 0.000 0.000 Er
2.636 0.000 5.157 Er
2.636 -2.403 7.735 Er
2.636 -4.289 0.548 Er
2.636 -4.289 4.609 Er
2.636 -9.900 7.735 Er
2.636 5.886 2.578 Tm
2.636 -5.886 7.735 Tm
2.636 1.949 7.735 In
2.636 -1.949 2.578 In
```

=====

(11)
Dy2Er6Tm3In | PBE-GGA | optimized geometry

energy relative to the elements: -0.041 eV/atom
VASP energy: -0.16302 hartree per atom

POSCAR file:
```
Dy2Er6Tm3In
1.0
3.007 -5.213 0.000
3.007 5.213 0.000
-2.015 0.000 11.360
Dy Er Tm In
2 6 3 1
Cartesian
3.007 3.481 0.000 Dy
3.007 -3.481 0.000 Dy
0.007 1.717 8.535 Er
1.019 0.000 2.837 Er
0.007 -1.717 8.535 Er
3.992 1.717 2.825 Er
2.980 0.000 8.523 Er
3.992 -1.717 2.825 Er
-1.007 0.000 5.680 Tm
2.000 1.737 5.680 Tm
2.000 -1.737 5.680 Tm
3.007 0.000 0.000 In
```

=====

(12)
Dy6Y3Er2In | PBE-GGA | optimized geometry

energy relative to the elements: -0.035 eV/atom
VASP energy: -0.18157 hartree per atom

POSCAR file:
```
Dy6Y3Er2In
1.0
3.047 -5.280 0.000
3.047 5.280 0.000
-2.042 0.000 11.420
Dy Y Er In
6 3 2 1
Cartesian
0.999 1.739 2.800 Dy
-0.029 0.000 8.605 Dy
0.999 -1.739 2.800 Dy
3.052 1.739 8.620 Dy
4.080 0.000 2.815 Dy
3.052 -1.739 8.620 Dy
2.025 3.520 5.710 Y
2.025 0.000 5.710 Y
2.025 -3.520 5.710 Y
3.047 1.755 0.000 Er
3.047 -1.755 0.000 Er
0.000 0.000 0.000 In
```